(1)
MgTiSiO5 | PBE | relaxed Values from VASP.

Values from the calculation:
Final energy ... -124.800 eV per cell
V ... 11.0 Å³/atom
Energy relative to the elements, uncorrected ... -2837 meV/atom
Magnetization ... 0.000 μB per atom

Quantum ESPRESSO input file:
```
&SYSTEM
  ibrav = 0, nat = 16, ntyp = 4
/
ATOMIC_SPECIES
Mg 24.30 Mg.upf
Ti 47.87 Ti.upf
Si 28.09 Si.upf
O 16.00 O.upf
CELL_PARAMETERS angstrom
5.2213 0.0000 0.0000
-1.6199 5.1964 0.0000
-1.5522 -2.4784 6.5086
ATOMIC_POSITIONS angstrom
Mg 0.0000 0.0000 0.0000
Mg 0.1331 2.1092 2.5992
Ti 2.6379 1.0388 1.3780
Ti 1.9297 -0.2494 4.6449
Si -0.6203 0.8909 6.1260
Si 2.8237 3.9414 2.9543
O -1.6409 0.7495 4.8594
O 0.2615 -1.1181 4.2000
O 1.0127 2.0343 0.6317
O 0.2660 4.5998 0.5049
O 1.6843 0.8301 2.8821
O 0.9164 1.2331 5.6387
O 1.2946 3.5850 3.4469
O 2.1577 -1.1969 6.1734
O 3.4891 2.7241 2.0437
O 4.3507 0.0924 1.9543
```

=====

(2)
HoErMnOs | PBE | relaxed Values from VASP.

Values from the calculation:
Final energy ... -29.701 eV per cell
V ... 20.4 Å³/atom
Magnetization ... 0.913 μB per atom

Quantum ESPRESSO input file:
```
&SYSTEM
  ibrav = 0, nat = 4, ntyp = 4
/
ATOMIC_SPECIES
Ho 164.93 Ho.upf
Er 167.26 Er.upf
Mn 54.94 Mn.upf
Os 190.23 Os.upf
CELL_PARAMETERS angstrom
0.0000 3.4440 3.4440
3.4440 0.0000 3.4440
3.4440 3.4440 0.0000
ATOMIC_POSITIONS angstrom
Ho 0.0000 0.0000 0.0000
Er 3.4440 3.4440 3.4440
Mn 5.1660 5.1660 5.1660
Os 1.7220 1.7220 1.7220
```

=====

What is the V in the second record?
20.4 Å³/atom